{
  "formula": "BaCaRh2",
  "functional": "PBE",
  "state": "relaxed",
  "cell": [[1.799, 1.039, 8.653], [-1.799, 1.039, 8.653], [0.000, -2.077, 8.653]],
  "species": ["Ba", "Ca", "Rh", "Rh"],
  "frac_coords": [[0.000, 0.000, 0.000], [0.500, 0.500, 0.500], [0.247, 0.247, 0.247], [0.753, 0.753, 0.753]],
  "magmom_total_mub_per_fu": 0.0,
  "formation_enthalpy_0k_ev_per_atom": 0.16,
  "n_ef_per_ev_atom": 0.830,
  "spacegroup": "No. 166",
  "dft_energy_ev_per_atom": -4.49
}